No. 1
Material: TcHBr2
Method: DFT, PBE
State: optimized geometry

Cell: 7.833 7.833 7.833 Å, 23.56 23.56 23.56°
Atoms (fractional coordinates):
Br 0.104 0.104 0.104
Br 0.896 0.896 0.896
H 0.500 0.500 0.500
Tc 0.000 0.000 0.000

Final energy = -3.43 eV/atom

No. 2
Material: HgBiAu2
Method: DFT, PBE
State: optimized geometry

Cell: 3.564 3.564 7.054 Å, 90.00 90.00 90.00°
Atoms (fractional coordinates):
Hg 0.500 0.500 0.000
Bi 0.500 0.500 0.500
Au 0.000 0.000 0.227
Au 0.000 0.000 0.773

ΔH_f (0 K) = 0.0788 eV per atom

No. 3
Material: NaZnAgHg2
Method: DFT, PBE
State: optimized geometry

Cell: 5.158 5.158 5.077 Å, 90.00 90.00 90.00°
Atoms (fractional coordinates):
Na 0.500 0.500 0.500
Hg 0.500 0.000 0.000
Hg 0.000 0.500 0.000
Ag 0.000 0.000 0.500
Zn 0.000 0.000 0.000

ΔH_f (0 K) = 0.0873 eV per atom

No. 4
Material: Cs7K4
Method: DFT, PBE
State: optimized geometry

Cell: 7.589 13.317 13.317 Å, 120.00 90.00 90.00°
Atoms (fractional coordinates):
K 0.500 0.784 0.216
K 0.000 0.333 0.667
K 0.500 0.784 0.567
K 0.500 0.433 0.216
Cs 0.000 0.532 0.468
Cs 0.500 0.618 0.809
Cs 0.000 0.936 0.468
Cs 0.500 0.191 0.809
Cs 0.500 0.191 0.382
Cs 0.000 0.000 0.000
Cs 0.000 0.532 0.064

ΔH_f (0 K) = 0.0429 eV per atom

No. 5
Material: ZrBeNi
Method: DFT, PBE
State: optimized geometry

Cell: 3.421 6.324 11.439 Å, 90.00 90.00 90.00°
Atoms (fractional coordinates):
Zr 0.000 0.141 0.250
Zr 0.000 0.744 0.461
Zr 0.000 0.256 0.539
Zr 0.000 0.256 0.961
Zr 0.000 0.859 0.750
Zr 0.000 0.744 0.039
Ni 0.500 0.789 0.250
Ni 0.500 0.425 0.135
Ni 0.500 0.575 0.865
Ni 0.500 0.211 0.750
Ni 0.500 0.425 0.365
Ni 0.500 0.575 0.635
Be 0.000 0.564 0.250
Be 0.500 0.954 0.592
Be 0.500 0.046 0.092
Be 0.000 0.436 0.750
Be 0.500 0.954 0.908
Be 0.500 0.046 0.408

ΔH_f (0 K) = -0.3484 eV per atom

No. 6
Material: BaHoIn2
Method: DFT, PBE
State: optimized geometry

Cell: 3.856 5.769 5.769 Å, 90.00 90.00 90.00°
Atoms (fractional coordinates):
In 0.000 0.000 0.500
In 0.000 0.500 0.000
Ho 0.500 0.000 0.000
Ba 0.500 0.500 0.500

ΔH_f (0 K) = -0.2633 eV per atom

Spin magnetization / μB per formula unit: 0.0; 0.0; 0.0; 0.0; 0.0; 0.0